a.
This record from Alexandria describes crystalline LaNdZnRh at its relaxed geometry. The functional is PBE.

As for the symmetry: Amm2 (38).

a b c (Å): 4.0591 4.4015 5.9792
angles (deg): 90.00 109.84 90.00
Sites, in units of the cell vectors:
La 0.8633 0.5000 0.7266
Nd 0.1381 0.0000 0.2761
Zn 0.5711 0.5000 0.1421
Rh 0.4276 0.0000 0.8552

---

b.
This record from Alexandria describes crystalline LaNdZnRh at its relaxed geometry. The functional is PBE.

As for the symmetry: F-43m (216).

a b c (Å): 5.1497 5.1497 5.1497
angles (deg): 60.00 60.00 60.00
Sites, in units of the cell vectors:
Rh 0.5000 0.5000 0.5000
Zn 0.0000 0.0000 0.0000
Nd 0.7500 0.7500 0.7500
La 0.2500 0.2500 0.2500

---

Which of them is most stable, and which least? Most stable: a; least stable: b.

---

a.
This record from Alexandria describes crystalline La4NdRu at its relaxed geometry. The functional is PBE.

As for the symmetry: P4/mmm (123).

a b c (Å): 4.9461 4.9461 8.7767
angles (deg): 90.00 90.00 90.00
Sites, in units of the cell vectors:
La 0.5000 0.0000 0.3047
La 0.0000 0.5000 0.3047
La 0.0000 0.5000 0.6953
La 0.5000 0.0000 0.6953
Nd 0.0000 0.0000 0.0000
Ru 0.5000 0.5000 0.5000

---

b.
This record from Alexandria describes crystalline La4NdRu at its relaxed geometry. The functional is PBE.

As for the symmetry: C2/c (15).

a b c (Å): 6.8363 6.9195 10.3344
angles (deg): 111.12 110.89 85.57
Sites, in units of the cell vectors:
La 0.0846 0.2010 0.1822
La 0.5975 0.9812 0.1822
La 0.3025 0.4531 0.6274
La 0.6975 0.5469 0.3726
La 0.1751 0.8257 0.3726
La 0.4025 0.0188 0.8178
La 0.8249 0.1743 0.6274
La 0.9154 0.7990 0.8178
Nd 0.2644 0.5144 0.0289
Nd 0.7356 0.4856 0.9711
Ru 0.0538 0.8038 0.6076
Ru 0.9462 0.1962 0.3924

---

Which of them is most stable, and which least? Most stable: b; least stable: a.

---

a.
This record from Alexandria describes crystalline LaNd3Ru2 at its relaxed geometry. The functional is PBE.

As for the symmetry: C2/m (12).

a b c (Å): 5.1189 9.3853 8.6578
angles (deg): 125.36 90.00 105.83
Sites, in units of the cell vectors:
La 0.8690 0.7380 0.9564
La 0.1310 0.2620 0.0436
Nd 0.3198 0.6395 0.6278
Nd 0.9324 0.8649 0.5929
Nd 0.6306 0.2612 0.7472
Nd 0.3694 0.7388 0.2528
Nd 0.0676 0.1351 0.4071
Nd 0.6802 0.3605 0.3722
Ru 0.5163 0.0326 0.8727
Ru 0.4837 0.9674 0.1273
Ru 0.7682 0.5365 0.1773
Ru 0.2318 0.4635 0.8227

---

b.
This record from Alexandria describes crystalline LaNd3Ru2 at its relaxed geometry. The functional is PBE.

As for the symmetry: Pmc2_1 (26).

a b c (Å): 5.0757 7.4025 8.5704
angles (deg): 90.00 90.00 90.00
Sites, in units of the cell vectors:
La 0.5000 0.5299 0.5926
La 0.5000 0.0299 0.4074
Nd 0.0000 0.4778 0.9172
Nd 0.0000 0.9778 0.0828
Nd 0.5000 0.6366 0.1584
Nd 0.5000 0.1366 0.8416
Nd 0.0000 0.3673 0.3453
Nd 0.0000 0.8673 0.6547
Ru 0.5000 0.7396 0.8231
Ru 0.5000 0.2396 0.1769
Ru 0.0000 0.2488 0.6726
Ru 0.0000 0.7488 0.3274

---

Which of them is most stable, and which least? Most stable: b; least stable: a.

---

a.
This record from Alexandria describes crystalline LaNdZnRu at its relaxed geometry. The functional is PBE.

As for the symmetry: Amm2 (38).

a b c (Å): 4.1601 4.2637 5.9873
angles (deg): 90.00 110.33 90.00
Sites, in units of the cell vectors:
La 0.8630 0.5000 0.7260
Nd 0.1389 0.0000 0.2779
Zn 0.5684 0.5000 0.1367
Ru 0.4297 0.0000 0.8594

---

b.
This record from Alexandria describes crystalline LaNdZnRu at its relaxed geometry. The functional is PBE.

As for the symmetry: F-43m (216).

a b c (Å): 5.1245 5.1245 5.1245
angles (deg): 60.00 60.00 60.00
Sites, in units of the cell vectors:
Ru 0.2500 0.2500 0.2500
Zn 0.7500 0.7500 0.7500
Nd 0.0000 0.0000 0.0000
La 0.5000 0.5000 0.5000

---

Which of them is most stable, and which least? Most stable: a; least stable: b.